# 1
A relaxed Cs2HoCu3F12 crystal, computed with PBE.

Cell lengths 7.5776, 7.5776, 7.5776 Å; angles 59.17, 59.17, 59.17 degrees
Last column: nearest neighbours and their distance in Å.
Atoms (fractional coordinates):
Cs 0.1122 0.1122 0.1122  9 F 3.25-3.50
Cs 0.8878 0.8878 0.8878  9 F 3.25-3.50
Ho 0.5000 0.5000 0.5000  6 F 2.18
Cu 0.0000 0.5000 0.5000  6 F 1.97-2.02
Cu 0.5000 0.0000 0.5000  6 F 1.97-2.02
Cu 0.5000 0.5000 0.0000  6 F 1.97-2.02
F 0.1512 0.5848 0.5848  1 Cu 2.02, 1 Ho 2.18
F 0.1953 0.1953 0.5801  2 Cu 1.97
F 0.1953 0.5801 0.1953  2 Cu 1.97
F 0.4152 0.4152 0.8488  1 Cu 2.02, 1 Ho 2.18
F 0.4152 0.8488 0.4152  1 Cu 2.02, 1 Ho 2.18
F 0.4199 0.8047 0.8047  2 Cu 1.97
F 0.5801 0.1953 0.1953  2 Cu 1.97
F 0.5848 0.1512 0.5848  1 Cu 2.02, 1 Ho 2.18
F 0.5848 0.5848 0.1512  1 Cu 2.02, 1 Ho 2.18
F 0.8047 0.4199 0.8047  2 Cu 1.97
F 0.8047 0.8047 0.4199  2 Cu 1.97
F 0.8488 0.4152 0.4152  1 Cu 2.02, 1 Ho 2.18

Results
SG: R-3m

# 2
A relaxed CsCu2IF2 crystal, computed with PBE.

Cell lengths 6.6255, 5.0843, 8.7553 Å; angles 90.00, 111.23, 90.00 degrees
Last column: nearest neighbours and their distance in Å.
Atoms (fractional coordinates):
Cs 0.1893 0.2500 0.4074  5 F 2.92-3.23
Cs 0.8107 0.7500 0.5926  5 F 2.92-3.23
Cu 0.3812 0.5012 0.8554  2 F 2.13-2.14
Cu 0.3812 0.9988 0.8554  2 F 2.13-2.14
Cu 0.6188 0.0012 0.1446  2 F 2.13-2.14
Cu 0.6188 0.4988 0.1446  2 F 2.13-2.14
I 0.2469 0.7500 0.0697  4 Cu 2.64-2.67
I 0.7531 0.2500 0.9303  4 Cu 2.64-2.67
F 0.1221 0.2500 0.7186  2 Cu 2.13
F 0.3449 0.7500 0.6497  2 Cu 2.14
F 0.6551 0.2500 0.3503  2 Cu 2.14
F 0.8779 0.7500 0.2814  2 Cu 2.13

Results
SG: P2_1/m

# 3
A relaxed Cs2CuIF3 crystal, computed with PBE.

Cell lengths 10.5586, 10.5586, 10.5586 Å; angles 158.87, 152.47, 34.96 degrees
Last column: nearest neighbours and their distance in Å.
Atoms (fractional coordinates):
Cs 0.1772 0.1772 0.0000  5 F 2.85-3.17
Cs 0.8228 0.8228 0.0000  5 F 2.85-3.17
Cu 0.5000 0.5000 0.0000  2 F 1.94
I 0.0000 0.5000 0.5000  2 Cu 2.51
F 0.3188 0.3188 0.0000  5 Cs 2.85-3.17
F 0.5000 0.0000 0.5000  2 Cu 1.94
F 0.6812 0.6812 0.0000  5 Cs 2.85-3.17

Results
SG: Immm

# 4
A relaxed CsCuIF2 crystal, computed with PBE.

Cell lengths 7.4233, 7.4233, 8.1003 Å; angles 90.00, 90.00, 146.86 degrees
Last column: nearest neighbours and their distance in Å.
Atoms (fractional coordinates):
Cs 0.2288 0.7712 0.7500  6 F 3.07-3.08
Cs 0.7712 0.2288 0.2500  6 F 3.07-3.08
Cu 0.5000 0.5000 0.0000  2 F 1.87
Cu 0.5000 0.5000 0.5000  2 F 1.87
I 0.0322 0.9678 0.2500  4 Cu 2.97
I 0.9678 0.0322 0.7500  4 Cu 2.97
F 0.3705 0.6295 0.0380  1 Cu 1.87
F 0.3705 0.6295 0.4620  1 Cu 1.87
F 0.6295 0.3705 0.5380  1 Cu 1.87
F 0.6295 0.3705 0.9620  1 Cu 1.87

Results
SG: Cmcm

# 5
A relaxed CsCuIF crystal, computed with PBE.

Cell lengths 4.4740, 4.4740, 6.9462 Å; angles 90.00, 90.00, 120.00 degrees
Last column: nearest neighbours and their distance in Å.
Atoms (fractional coordinates):
Cs 0.0000 0.0000 0.0000  3 F 2.81
Cu 0.3333 0.6667 0.4533  1 F 2.05
I 0.6667 0.3333 0.5485  3 Cu 2.67
F 0.3333 0.6667 0.1577  1 Cu 2.05

Results
SG: P3m1

# 6
A relaxed CsCu2IF crystal, computed with PBE.

Cell lengths 4.7205, 4.7205, 7.2492 Å; angles 90.00, 90.00, 90.00 degrees
Last column: nearest neighbours and their distance in Å.
Atoms (fractional coordinates):
Cs 0.0000 0.0000 0.0000  4 I 3.34
Cu 0.0000 0.5000 0.5000  2 F 2.36
Cu 0.5000 0.0000 0.5000  2 F 2.36
I 0.5000 0.5000 0.0000  4 Cs 3.34, 2 F 3.62
F 0.5000 0.5000 0.5000  4 Cu 2.36

Results
SG: P4/mmm

# 7
A relaxed Cs2InCuF6 crystal, computed with PBE.

Cell lengths 6.3532, 6.3532, 6.3532 Å; angles 114.54, 114.54, 99.75 degrees
Last column: nearest neighbours and their distance in Å.
Atoms (fractional coordinates):
Cs 0.2500 0.7500 0.5000  12 F 3.19-3.44
Cs 0.7500 0.2500 0.5000  12 F 3.19-3.44
In 0.0000 0.0000 0.0000  6 F 2.09-2.20
Cu 0.5000 0.5000 0.0000  2 F 1.90
F 0.2149 0.2149 0.4298  1 In 2.09
F 0.2149 0.7851 0.0000  1 In 2.09
F 0.2685 0.2685 0.0000  1 Cu 1.90
F 0.7315 0.7315 0.0000  1 Cu 1.90
F 0.7851 0.2149 0.0000  1 In 2.09
F 0.7851 0.7851 0.5702  1 In 2.09

Results
SG: I4/mmm

# 8
A relaxed Cs2In3CuF12 crystal, computed with PBE.

Cell lengths 7.8061, 7.8061, 7.8061 Å; angles 61.56, 61.56, 61.56 degrees
Last column: nearest neighbours and their distance in Å.
Atoms (fractional coordinates):
Cs 0.1352 0.1352 0.1352  6 F 3.24-3.50
Cs 0.8648 0.8648 0.8648  6 F 3.24-3.50
In 0.0000 0.5000 0.5000  6 F 2.06-2.15
In 0.5000 0.0000 0.5000  6 F 2.06-2.15
In 0.5000 0.5000 0.0000  6 F 2.06-2.15
Cu 0.5000 0.5000 0.5000  6 F 2.18
F 0.1703 0.5749 0.5749  1 In 2.06, 1 Cu 2.18
F 0.1785 0.1785 0.5708  2 In 2.15
F 0.1785 0.5708 0.1785  2 In 2.15
F 0.4251 0.4251 0.8297  1 In 2.06, 1 Cu 2.18
F 0.4251 0.8297 0.4251  1 In 2.06, 1 Cu 2.18
F 0.4292 0.8215 0.8215  2 In 2.15
F 0.5708 0.1785 0.1785  2 In 2.15
F 0.5749 0.1703 0.5749  1 In 2.06, 1 Cu 2.18
F 0.5749 0.5749 0.1703  1 In 2.06, 1 Cu 2.18
F 0.8215 0.4292 0.8215  2 In 2.15
F 0.8215 0.8215 0.4292  2 In 2.15
F 0.8297 0.4251 0.4251  1 In 2.06, 1 Cu 2.18

Results
SG: R-3m

# 9
A relaxed CsCu2IrF8 crystal, computed with PBE.

Cell lengths 9.8100, 9.8100, 9.8100 Å; angles 33.65, 33.65, 33.65 degrees
Last column: nearest neighbours and their distance in Å.
Atoms (fractional coordinates):
Cs 0.0000 0.0000 0.0000  6 F 3.33
Cu 0.2463 0.2463 0.2463  4 F 1.84-1.99
Cu 0.7537 0.7537 0.7537  4 F 1.84-1.99
Ir 0.5000 0.5000 0.5000  6 F 1.98
F 0.1385 0.6027 0.6286  1 Ir 1.98, 1 Cu 1.99
F 0.3126 0.3126 0.3126  1 Cu 1.84
F 0.3714 0.3973 0.8615  1 Ir 1.98, 1 Cu 1.99
F 0.3973 0.8615 0.3714  1 Ir 1.98, 1 Cu 1.99
F 0.6027 0.6286 0.1385  1 Ir 1.98, 1 Cu 1.99
F 0.6286 0.1385 0.6027  1 Ir 1.98, 1 Cu 1.99
F 0.6874 0.6874 0.6874  1 Cu 1.84
F 0.8615 0.3714 0.3973  1 Ir 1.98, 1 Cu 1.99

Results
SG: R32

# 10
A relaxed CsCuIrF6 crystal, computed with PBE.

Cell lengths 5.5945, 5.5945, 6.4361 Å; angles 90.00, 90.00, 120.00 degrees
Last column: nearest neighbours and their distance in Å.
Atoms (fractional coordinates):
Cs 0.0000 0.0000 0.0000  6 F 2.97
Cu 0.3333 0.6667 0.5000  6 F 2.14
Ir 0.6667 0.3333 0.5000  6 F 2.01
F 0.3745 0.0179 0.6657  1 Ir 2.01, 1 Cu 2.14
F 0.3745 0.3566 0.3343  1 Ir 2.01, 1 Cu 2.14
F 0.6434 0.0179 0.3343  1 Ir 2.01, 1 Cu 2.14
F 0.6434 0.6255 0.6657  1 Ir 2.01, 1 Cu 2.14
F 0.9821 0.3566 0.6657  1 Ir 2.01, 1 Cu 2.14
F 0.9821 0.6255 0.3343  1 Ir 2.01, 1 Cu 2.14

Results
SG: P312

# 11
A relaxed Cs2KCu2F6 crystal, computed with PBE.

Cell lengths 6.7042, 6.7042, 7.0938 Å; angles 115.12, 115.12, 57.72 degrees
Last column: nearest neighbours and their distance in Å.
Atoms (fractional coordinates):
Cs 0.2181 0.2181 0.1817  5 F 2.98-3.20
Cs 0.7819 0.7819 0.8183  5 F 2.98-3.20
K 0.0000 0.0000 0.5000  6 F 2.64-2.66
Cu 0.4387 0.4387 0.7771  3 F 1.88-1.92
Cu 0.5613 0.5613 0.2229  3 F 1.88-1.92
F 0.2210 0.6788 0.1910  1 Cu 1.92
F 0.2570 0.2570 0.6609  1 Cu 1.88
F 0.3212 0.7790 0.8090  1 Cu 1.92
F 0.6788 0.2210 0.1910  1 Cu 1.92
F 0.7430 0.7430 0.3391  1 Cu 1.88
F 0.7790 0.3212 0.8090  1 Cu 1.92

Results
SG: C2/m

# 12
A relaxed CsKCu2F8 crystal, computed with PBE.

Cell lengths 8.6703, 8.6703, 8.6703 Å; angles 39.77, 39.77, 39.77 degrees
Last column: nearest neighbours and their distance in Å.
Atoms (fractional coordinates):
Cs 0.0000 0.0000 0.0000  12 F 3.15-3.41
K 0.5000 0.5000 0.5000  6 F 2.67
Cu 0.2475 0.2475 0.2475  4 F 1.82-1.84
Cu 0.7525 0.7525 0.7525  4 F 1.82-1.84
F 0.0548 0.4529 0.8048  1 Cu 1.84
F 0.1952 0.9452 0.5472  1 Cu 1.84
F 0.3236 0.3236 0.3236  1 Cu 1.82
F 0.4528 0.8048 0.0548  1 Cu 1.84
F 0.5472 0.1952 0.9452  1 Cu 1.84
F 0.6764 0.6764 0.6764  1 Cu 1.82
F 0.8048 0.0548 0.4528  1 Cu 1.84
F 0.9452 0.5472 0.1952  1 Cu 1.84

Results
SG: R-3

| no. | total energy (eV per atom) |
| --- | --- |
| 1 | -4.694 |
| 2 | -3.691 |
| 3 | -3.576 |
| 4 | -3.633 |
| 5 | -3.476 |
| 6 | -2.653 |
| 7 | -4.337 |
| 8 | -4.459 |
| 9 | -4.331 |
| 10 | -4.555 |
| 11 | -4.127 |
| 12 | -3.834 |